1.
Below is a relaxed TmCd4Pb crystal, with properties calculated at the PBE level.

Cell lengths 5.953, 5.953, 5.953 Å; angles 60.00, 60.00, 60.00 degrees
Positions (direct):
Pb 0.000 0.000 0.000
Tm 0.250 0.250 0.250
Cd 0.625 0.625 0.126
Cd 0.625 0.126 0.625
Cd 0.625 0.625 0.625
Cd 0.126 0.625 0.625

Summary:
For the magnetization, the calculation gives 0.000 μB/atom. As for the density of states at the Fermi level: 2.2 states/eV/cell. Its space group is F-43m (216). The value obtained for the electronic total energy is -2.0546 eV per atom.

2.
Below is a relaxed HfMn2HPd crystal, with properties calculated at the PBE level.

Cell lengths 3.866, 3.866, 4.216 Å; angles 90.00, 90.00, 90.00 degrees
Each line ends with the local moment (μB).
Positions (direct):
H 0.000 0.000 0.000  -0.02
Mn 0.000 0.500 0.000  2.60
Mn 0.500 0.000 0.000  2.60
Hf 0.000 0.000 0.500  -0.35
Pd 0.500 0.500 0.500  0.04

Summary:
For the magnetization, the calculation gives 0.988 μB/atom. As for the density of states at the Fermi level: 3.0 states/eV/cell. Its space group is P4/mmm (123). The value obtained for the electronic total energy is -7.5705 eV per atom.

3.
Below is a relaxed Nd2ErIr3 crystal, with properties calculated at the PBE level.

Cell lengths 4.683, 5.724, 6.427 Å; angles 116.44, 111.37, 90.00 degrees
Positions (direct):
Nd 0.671 0.171 0.343
Nd 0.329 0.829 0.657
Er 0.000 0.500 0.000
Ir 0.359 0.359 0.717
Ir 0.000 0.000 0.000
Ir 0.641 0.641 0.283

Summary:
For the magnetization, the calculation gives 0.000 μB/atom. As for the density of states at the Fermi level: 2.6 states/eV/cell. Its space group is Immm (71). The value obtained for the electronic total energy is -7.1476 eV per atom.

4.
Below is a relaxed CdIn crystal, with properties calculated at the PBE level.

Cell lengths 8.857, 8.857, 8.857 Å; angles 90.00, 90.00, 90.00 degrees
Positions (direct):
Cd 0.190 0.190 0.190
Cd 0.190 0.810 0.810
Cd 0.810 0.190 0.810
Cd 0.810 0.810 0.190
Cd 0.690 0.690 0.690
Cd 0.690 0.310 0.310
Cd 0.310 0.690 0.310
Cd 0.310 0.310 0.690
In 0.369 0.369 0.369
In 0.369 0.631 0.631
In 0.631 0.369 0.631
In 0.631 0.631 0.369
In 0.869 0.869 0.869
In 0.869 0.131 0.131
In 0.131 0.869 0.131
In 0.131 0.131 0.869

Summary:
For the magnetization, the calculation gives 0.000 μB/atom. As for the density of states at the Fermi level: 6.5 states/eV/cell. Its space group is I-43m (217). The value obtained for the electronic total energy is -1.4827 eV per atom.

5.
Below is a relaxed ScSnB2 crystal, with properties calculated at the PBE level.

Cell lengths 6.364, 6.364, 5.460 Å; angles 54.35, 54.35, 90.00 degrees
Positions (direct):
Sc 0.500 0.500 0.000
Sc 0.250 0.750 0.500
B 0.642 0.125 0.250
B 0.108 0.625 0.250
B 0.375 0.358 0.750
B 0.875 0.892 0.750
Sn 0.000 0.000 0.000
Sn 0.750 0.250 0.500

Summary:
For the magnetization, the calculation gives 0.000 μB/atom. As for the density of states at the Fermi level: 6.0 states/eV/cell. Its space group is I-42d (122). The value obtained for the electronic total energy is -5.2971 eV per atom.

6.
Below is a relaxed TaAu2Se crystal, with properties calculated at the PBE level.

Cell lengths 4.670, 4.670, 4.670 Å; angles 119.84, 119.84, 90.28 degrees
Positions (direct):
Au 0.000 0.000 0.000
Au 0.250 0.750 0.500
Se 0.500 0.500 0.000
Ta 0.750 0.250 0.500

Summary:
For the magnetization, the calculation gives 0.000 μB/atom. The calculation puts the formation energy from raw total energies at 185 meV/atom. As for the density of states at the Fermi level: 2.6 states/eV/cell. Its space group is I-4m2 (119). The value obtained for the electronic total energy is -5.2882 eV per atom.

7.
Below is a relaxed K3Pm2RhO6 crystal, with properties calculated at the PBE level.

Cell lengths 5.969, 5.969, 6.559 Å; angles 98.63, 98.63, 119.93 degrees
Positions (direct):
K 0.160 0.840 0.500
K 0.840 0.160 0.500
K 0.500 0.500 0.500
Pm 0.333 0.667 0.000
Pm 0.667 0.333 0.000
Rh 0.000 0.000 0.000
O 0.937 0.626 0.810
O 0.750 0.750 0.188
O 0.063 0.374 0.190
O 0.626 0.937 0.810
O 0.250 0.250 0.812
O 0.374 0.063 0.190

Summary:
For the magnetization, the calculation gives 0.000 μB/atom. The calculation puts the formation energy from raw total energies at -2034 meV/atom. As for the density of states at the Fermi level: 0.0 states/eV/cell. Its space group is C2/m (12). The value obtained for the electronic total energy is -6.1919 eV per atom.

8.
Below is a relaxed Pr2DyScBi5 crystal, with properties calculated at the PBE level.

Cell lengths 5.491, 5.491, 11.597 Å; angles 90.00, 90.00, 90.00 degrees
Positions (direct):
Pr 0.500 0.500 0.281
Pr 0.500 0.500 0.719
Dy 0.000 0.000 0.500
Sc 0.000 0.000 0.000
Bi 0.000 0.500 0.500
Bi 0.500 0.000 0.500
Bi 0.000 0.000 0.761
Bi 0.000 0.000 0.239
Bi 0.500 0.500 0.000

Summary:
For the magnetization, the calculation gives 0.000 μB/atom. As for the density of states at the Fermi level: 6.7 states/eV/cell. Its space group is P4/mmm (123). The value obtained for the electronic total energy is -4.5311 eV per atom.